(1)
PBE KCN3, optimized geometry; space-group type = Pm-3m, No. 221; magnetic moment = 6.0 μB per formula unit; E = -14.73 eV for the cell shown; uncorrected formation energy = 4.113 eV per atom
1.0
4.908 0.000 0.000
0.000 4.908 0.000
0.000 0.000 4.908
K C N
1 1 3
Cartesian
0.000 0.000 0.000
2.454 2.454 2.454
0.000 0.000 2.454
0.000 2.454 0.000
2.454 0.000 0.000


(2)
PBE LaLuCuPd, optimized geometry; space-group type = F-43m, No. 216; magnetic moment = 0.0 μB per formula unit; ΔE_f = -0.52 eV per atom; E = -83.22 eV for the cell shown
1.0
7.114 0.000 0.000
0.000 7.114 0.000
0.000 0.000 7.114
La Lu Cu Pd
4 4 4 4
Cartesian
0.000 0.000 0.000
0.000 3.557 3.557
3.557 0.000 3.557
3.557 3.557 0.000
0.000 0.000 3.557
0.000 3.557 0.000
3.557 0.000 0.000
3.557 3.557 3.557
1.778 1.778 5.335
1.778 5.335 1.778
5.335 1.778 1.778
5.335 5.335 5.335
1.778 1.778 1.778
1.778 5.335 5.335
5.335 1.778 5.335
5.335 5.335 1.778


(3)
PBE Be3VCd, optimized geometry; space-group type = Pm-3m, No. 221; magnetic moment = 2.8 μB per formula unit; ΔE_f = 1.29 eV per atom; E = -14.78 eV for the cell shown; excess energy over the best structure of this formula in the dataset = 0.000 eV per formula unit
1.0
4.312 0.000 0.000
0.000 4.312 0.000
0.000 0.000 4.312
Be V Cd
3 1 1
Cartesian
0.000 0.000 2.156
0.000 2.156 0.000
2.156 0.000 0.000
2.156 2.156 2.156
0.000 0.000 0.000


(4)
PBE AgMoH3, optimized geometry; space-group type = Pm-3m, No. 221; magnetic moment = 0.0 μB per formula unit; E = -21.68 eV for the cell shown; excess energy over the best structure of this formula in the dataset = 0.000 eV per formula unit
1.0
3.574 0.000 0.000
0.000 3.574 0.000
0.000 0.000 3.574
Ag Mo H
1 1 3
Cartesian
0.000 0.000 0.000
1.787 1.787 1.787
0.000 1.787 1.787
1.787 0.000 1.787
1.787 1.787 0.000


(5)
PBE NdTeF, optimized geometry; space-group type = C2/m, No. 12; magnetic moment = 0.0 μB per formula unit; E = -70.10 eV for the cell shown; uncorrected formation energy = -2.581 eV per atom; excess energy over the best structure of this formula in the dataset = 0.129 eV per formula unit
1.0
11.499 0.000 0.000
0.000 4.090 0.000
-3.800 0.000 6.623
Nd Te F
4 4 4
Cartesian
1.111 0.000 1.580
0.839 2.045 5.043
6.861 2.045 1.580
6.589 0.000 5.043
-2.334 2.045 5.588
4.284 0.000 1.035
3.416 0.000 5.588
10.034 2.045 1.035
0.316 0.000 3.879
1.634 2.045 2.744
6.066 2.045 3.879
7.384 0.000 2.744


(6)
PBE Rb2CeTiO5, optimized geometry; space-group type = Cmc2_1, No. 36; magnetic moment = 0.0 μB per formula unit; E = -129.10 eV for the cell shown; uncorrected formation energy = -2.666 eV per atom
1.0
1.797 -6.628 0.000
1.797 6.628 0.000
0.000 0.000 13.838
Rb Ce Ti O
4 2 2 10
Cartesian
1.797 5.711 6.919
1.797 4.360 1.754
1.797 -4.360 8.673
1.797 -5.711 0.000
1.797 3.757 11.829
1.797 -3.757 4.910
1.797 0.203 3.703
1.797 -0.203 10.622
1.797 6.078 11.392
1.797 2.944 6.299
1.797 2.330 3.623
1.797 1.594 11.312
1.797 0.085 8.902
1.797 -0.085 1.984
1.797 -1.594 4.393
1.797 -2.330 10.542
1.797 -2.944 13.218
1.797 -6.078 4.473


(7)
PBE Ba2SmAu2O6, optimized geometry; space-group type = R-3m, No. 166; magnetic moment = 2.6 μB per formula unit; E = -61.67 eV for the cell shown; uncorrected formation energy = -1.528 eV per atom
1.0
3.198 1.846 6.048
-3.198 1.846 6.048
0.000 -3.692 6.048
Ba Sm Au O
2 1 2 6
Cartesian
0.000 0.000 3.806
0.000 0.000 14.338
0.000 0.000 0.000
0.000 0.000 7.568
0.000 0.000 10.575
-1.777 -1.026 10.454
0.000 -2.052 7.690
-1.777 1.026 7.690
1.777 -1.026 10.454
0.000 2.052 10.454
1.777 1.026 7.690


(8)
PBE As2SeBr, optimized geometry; space-group type = I-42d, No. 122; magnetic moment = 0.0 μB per formula unit; E = -52.55 eV for the cell shown; uncorrected formation energy = 0.330 eV per atom; excess energy over the best structure of this formula in the dataset = 1.489 eV per formula unit
1.0
7.527 0.000 0.000
0.000 7.527 0.000
0.000 0.000 6.791
As Se Br
8 4 4
Cartesian
1.694 1.882 0.849
1.882 5.457 2.547
1.882 5.834 5.942
2.070 1.882 4.244
5.457 5.645 4.244
5.645 1.694 5.942
5.645 2.070 2.547
5.834 5.645 0.849
0.000 0.000 0.000
0.000 3.764 1.698
3.764 0.000 5.093
3.764 3.764 3.395
0.000 0.000 3.395
0.000 3.764 5.093
3.764 0.000 1.698
3.764 3.764 0.000